[1]
Computed, not measured: a geometry-optimized Pr4GaTe2Br structure at the PBE level of DFT.

Properties
Formation energy (no corrections) in eV/f.u.: -9.57
DFT total energy in eV per atom: -4.958

Geometry as POSCAR:
```
Pr4GaTe2Br
1.0
7.6996 0.0000 0.0000
0.0000 4.4213 0.0000
-2.5183 0.0000 7.3354
Pr Ga Te Br
4 1 2 1
direct
0.2316 0.0000 0.2305
0.2356 0.5000 0.7620
0.7644 0.5000 0.2380
0.7684 0.0000 0.7695
0.0000 0.5000 0.0000
0.0000 0.0000 0.5000
0.5000 0.5000 0.5000
0.5000 0.0000 0.0000
```


[2]
Computed, not measured: a geometry-optimized AlF structure at the PBE level of DFT.

Properties
Formation energy (no corrections) in eV/f.u.: -3.90
DFT total energy in eV per atom: -4.756

Geometry as POSCAR:
```
AlF
1.0
9.8528 0.0000 0.0000
0.0000 4.8762 0.0000
0.0000 0.0000 7.8561
Al F
8 8
direct
0.1401 0.2500 0.1331
0.1755 0.7500 0.0116
0.3245 0.2500 0.5116
0.3599 0.7500 0.6331
0.6401 0.2500 0.3669
0.6755 0.7500 0.4884
0.8245 0.2500 0.9884
0.8599 0.7500 0.8669
0.0485 0.7500 0.8313
0.1798 0.2500 0.3628
0.3202 0.7500 0.8628
0.4515 0.2500 0.3313
0.5485 0.7500 0.6687
0.6798 0.2500 0.1372
0.8202 0.7500 0.6372
0.9515 0.2500 0.1687
```


[3]
Computed, not measured: a geometry-optimized Ce4PuSb5 structure at the PBE level of DFT.

Properties
Formation energy (no corrections) in eV/f.u.: -9.49
DFT total energy in eV per atom: -6.817

Geometry as POSCAR:
```
Ce4PuSb5
1.0
-2.2437 2.2437 15.8644
2.2437 -2.2437 15.8644
2.2437 2.2437 -15.8644
Ce Pu Sb
4 1 5
direct
0.0995 0.0995 0.0000
0.3002 0.3002 0.0000
0.6998 0.6998 0.0000
0.9005 0.9005 0.0000
0.5000 0.5000 0.0000
0.0000 0.0000 0.0000
0.1999 0.1999 0.0000
0.4002 0.4002 0.0000
0.5998 0.5998 0.0000
0.8001 0.8001 0.0000
```


Look up the formation energy (no corrections) of the first one. -9.57 eV/f.u.